Computed, not measured: LiLa2Pb2 after structural relaxation at the GGA-PBEsol level of DFT.

a b c (Å): 7.937 7.937 4.782
angles (deg): 90.00 90.00 90.00
Space group P4/mbm (No. 127)
Asymmetric unit:
Li  0.000  0.000  0.000 (multiplicity 2)
La  0.172  0.328  0.500 (multiplicity 4)
Pb  0.135  0.635  0.000 (multiplicity 4)

Values from the calculation:
Mass density = 7.71 g/cm3
Calculated formation energy = -528 meV per atom
Raw total energy = -46.59 eV per cell